Compound: Hf2CuPt4
Source: the Alexandria database
Functional: PBE-GGA
Structure: optimized geometry

Output
- calculated formation energy (meV per atom) = -752
- size of the total moment (μB/f.u.) = 0.0
- mass density (g/cm3) = 16.535

Unit cell a=6.4984 b=5.2789 c=7.6509 alpha=90.00 beta=113.23 gamma=90.00
Atoms (fractional coordinates):
Pt: 0.0466 0.7500 0.4338
Cu: 0.2436 0.7500 0.2042
Hf: 0.7960 0.7500 0.0251
Hf: 0.6735 0.7500 0.5739
Pt: 0.5931 0.4947 0.2487
Pt: 0.0769 0.7500 0.8313
Pt: 0.9231 0.2500 0.1687
Hf: 0.3265 0.2500 0.4261
Pt: 0.4069 0.5053 0.7513
Cu: 0.7564 0.2500 0.7958
Hf: 0.2040 0.2500 0.9749
Pt: 0.9534 0.2500 0.5662
Pt: 0.5931 0.0053 0.2487
Pt: 0.4069 0.9947 0.7513